Record 1
DFT (GGA-PBE) results for a relaxed structure of LaSm3O6.

a b c (Å): 7.497 7.497 18.045
angles (deg): 79.73 79.73 28.26
Atoms (fractional coordinates):
Sm1 0.367 0.367 0.244
Sm2 0.970 0.970 0.907
Sm3 0.634 0.634 0.255
Sm4 0.365 0.365 0.747
Sm5 0.032 0.032 0.596
Sm6 0.034 0.034 0.094
Sm7 0.634 0.634 0.757
Sm8 0.968 0.968 0.406
Sm9 0.691 0.691 0.930
O1 0.128 0.128 0.859
O2 0.201 0.201 0.188
O3 0.500 0.500 0.500
O4 0.796 0.796 0.307
O5 0.528 0.528 0.673
O6 0.528 0.528 0.171
O7 0.873 0.873 0.646
O8 0.126 0.126 0.356
O9 0.825 0.825 0.981
O10 0.826 0.826 0.484
O11 0.875 0.875 0.141
O12 0.174 0.174 0.012
O13 0.203 0.203 0.692
O14 0.502 0.502 0.999
O15 0.794 0.794 0.812
O16 0.471 0.471 0.328
O17 0.472 0.472 0.829
O18 0.173 0.173 0.517
La1 0.690 0.690 0.430
La2 0.310 0.310 0.068
La3 0.310 0.310 0.571

Summary:
magnetization: 0.000 μB per formula unit
energy above the most stable polymorph in this dataset: 0 meV/atom

Record 2
DFT (GGA-PBE) results for a relaxed structure of La3SmO4.

a b c (Å): 6.262 6.288 7.181
angles (deg): 90.00 90.00 109.30
Atoms (fractional coordinates):
Sm1 0.250 0.000 0.125
Sm2 0.750 0.000 0.875
O1 0.007 0.761 0.367
O2 0.493 0.239 0.367
O3 0.993 0.239 0.633
O4 0.498 0.233 0.882
O5 0.002 0.767 0.882
O6 0.502 0.767 0.118
O7 0.507 0.761 0.633
O8 0.998 0.233 0.118
La1 0.250 0.500 0.875
La2 0.750 0.000 0.376
La3 0.250 0.000 0.624
La4 0.750 0.500 0.125
La5 0.750 0.500 0.624
La6 0.250 0.500 0.376

Summary:
magnetization: 0.000 μB per formula unit
VASP energy: -7.7560 eV/atom